The following is a DFT calculation (PBE) of a geometry-optimized Mg2OsCl structure.

Lattice parameters (Å, degrees): 7.114 7.114 5.824 90.00 90.00 90.00
Space group I-42d (No. 122)
Symmetry-distinct sites (fractional):
Mg 0.229 0.250 0.125 x8
Os 0.000 0.000 0.500 x4
Cl 0.000 0.000 0.000 x4

Properties
* crystal system: tetragonal
* Fermi-level density of states: 0.8335 states/eV/atom
* formation energy from raw total energies: 0.456 eV/atom